Material: Er2Sc5
Method: DFT, PBE
State: relaxed

Unit cell a=3.515 b=6.626 c=8.459 alpha=103.18 beta=90.00 gamma=105.38
Atoms (fractional coordinates):
Er: 0.916 0.832 0.799
Sc: 0.654 0.308 0.894
Sc: 0.346 0.692 0.106
Er: 0.084 0.168 0.201
Sc: 0.799 0.598 0.389
Sc: 0.201 0.402 0.611
Sc: 0.500 0.000 0.500

Calculated values
Energy relative to the lowest polymorph listed for this composition ... 0 meV per atom
E_form ... 48 kJ/mol of formula units
Crystal system ... monoclinic



Material: Er3Sc
Method: DFT, PBE
State: relaxed

Unit cell a=3.523 b=5.454 c=6.089 alpha=90.00 beta=90.00 gamma=90.00
Atoms (fractional coordinates):
Er: 0.000 0.500 0.330
Er: 0.500 0.500 0.837
Sc: 0.000 0.000 0.002
Er: 0.500 0.000 0.498

Calculated values
Energy relative to the lowest polymorph listed for this composition ... 4 meV per atom
E_form ... 6 kJ/mol of formula units
Crystal system ... orthorhombic



Material: Er2Sc3
Method: DFT, PBE
State: relaxed

Unit cell a=3.272 b=5.784 c=14.873 alpha=88.22 beta=83.68 gamma=73.57
Atoms (fractional coordinates):
Sc: 0.989 0.000 0.000
Sc: 0.739 0.500 0.500
Sc: 0.301 0.072 0.197
Er: 0.039 0.959 0.602
Er: 0.600 0.041 0.398
Er: 0.748 0.541 0.102
Er: 0.391 0.459 0.898
Sc: 0.248 0.572 0.303
Sc: 0.123 0.428 0.697
Sc: 0.570 0.928 0.803

Calculated values
Energy relative to the lowest polymorph listed for this composition ... 95 meV per atom
E_form ... 53 kJ/mol of formula units
Crystal system ... orthorhombic



Material: ErSc5
Method: DFT, PBE
State: relaxed

Unit cell a=3.556 b=5.282 c=8.596 alpha=107.89 beta=90.00 gamma=90.00
Atoms (fractional coordinates):
Sc: 0.500 0.818 0.636
Sc: 0.000 0.345 0.690
Sc: 0.000 0.655 0.310
Er: 0.000 0.000 0.000
Sc: 0.500 0.500 0.000
Sc: 0.500 0.182 0.364

Calculated values
Energy relative to the lowest polymorph listed for this composition ... 85 meV per atom
E_form ... 55 kJ/mol of formula units
Crystal system ... orthorhombic



Material: Er3Sc
Method: DFT, PBE
State: relaxed

Unit cell a=5.494 b=5.494 c=5.494 alpha=60.00 beta=60.00 gamma=60.00
Atoms (fractional coordinates):
Er: 0.250 0.250 0.250
Er: 0.750 0.750 0.750
Sc: 0.500 0.500 0.500
Er: 0.000 0.000 0.000

Calculated values
Energy relative to the lowest polymorph listed for this composition ... 122 meV per atom
E_form ... 52 kJ/mol of formula units
Crystal system ... cubic



Material: Er2Sc3
Method: DFT, PBE
State: relaxed

Unit cell a=5.908 b=6.325 c=9.056 alpha=65.89 beta=70.96 gamma=62.16
Atoms (fractional coordinates):
Sc: 0.164 0.750 0.250
Er: 0.231 0.247 0.950
Er: 0.573 0.747 0.450
Er: 0.427 0.253 0.550
Sc: 0.627 0.259 0.151
Sc: 0.373 0.741 0.849
Sc: 0.836 0.250 0.750
Er: 0.769 0.753 0.050
Sc: 0.037 0.241 0.349
Sc: 0.963 0.759 0.651

Calculated values
Energy relative to the lowest polymorph listed for this composition ... 0 meV per atom
E_form ... 7 kJ/mol of formula units
Crystal system ... monoclinic



Material: Er2Sc5
Method: DFT, PBE
State: relaxed

Unit cell a=5.292 b=5.292 c=8.213 alpha=71.21 beta=71.21 gamma=60.00
Atoms (fractional coordinates):
Sc: 0.073 0.073 0.780
Sc: 0.211 0.211 0.366
Sc: 0.789 0.789 0.634
Er: 0.638 0.638 0.085
Sc: 0.500 0.500 0.500
Sc: 0.927 0.927 0.220
Er: 0.362 0.362 0.915

Calculated values
Energy relative to the lowest polymorph listed for this composition ... 54 meV per atom
E_form ... 85 kJ/mol of formula units
Crystal system ... trigonal



Material: ErSc2
Method: DFT, PBE
State: relaxed

Unit cell a=6.227 b=6.227 c=6.227 alpha=60.00 beta=60.00 gamma=60.00
Each line ends with the local moment (μB).
Atoms (fractional coordinates):
Er: 0.250 0.250 0.250  0.65
Sc: 0.625 0.125 0.625  0.47
Sc: 0.625 0.625 0.625  0.47
Sc: 0.125 0.625 0.625  0.47
Er: 0.000 0.000 0.000  0.65
Sc: 0.625 0.625 0.125  0.47

Calculated values
Energy relative to the lowest polymorph listed for this composition ... 212 meV per atom
E_form ... 66 kJ/mol of formula units
Crystal system ... cubic



Material: Er7Sc
Method: DFT, PBE
State: relaxed

Unit cell a=6.949 b=6.949 c=6.949 alpha=60.00 beta=60.00 gamma=60.00
Atoms (fractional coordinates):
Er: 0.500 0.500 0.000
Er: 0.500 0.000 0.500
Sc: 0.000 0.000 0.000
Er: 0.500 0.000 0.000
Er: 0.500 0.500 0.500
Er: 0.000 0.000 0.500
Er: 0.000 0.500 0.500
Er: 0.000 0.500 0.000

Calculated values
E_form ... 29 kJ/mol of formula units
Crystal system ... cubic



Material: ErSc
Method: DFT, PBE
State: relaxed

Unit cell a=3.800 b=3.800 c=3.800 alpha=90.00 beta=90.00 gamma=90.00
Atoms (fractional coordinates):
Sc: 0.500 0.500 0.500
Er: 0.000 0.000 0.000

Calculated values
Energy relative to the lowest polymorph listed for this composition ... 72 meV per atom
E_form ... 19 kJ/mol of formula units
Crystal system ... cubic



Material: Er13Sc3
Method: DFT, PBE
State: relaxed

Unit cell a=7.077 b=8.215 c=8.215 alpha=96.21 beta=90.00 gamma=90.00
Atoms (fractional coordinates):
Er: 0.752 0.962 0.546
Er: 0.000 0.206 0.289
Er: 0.500 0.793 0.207
Er: 0.249 0.539 0.461
Sc: 0.247 0.044 0.956
Er: 0.751 0.539 0.461
Sc: 0.753 0.044 0.956
Sc: 0.000 0.288 0.712
Er: 0.500 0.716 0.796
Er: 0.248 0.454 0.038
Er: 0.752 0.454 0.038
Er: 0.000 0.711 0.794
Er: 0.248 0.962 0.546
Er: 0.000 0.793 0.207
Er: 0.500 0.204 0.284
Er: 0.500 0.290 0.710

Calculated values
E_form ... 18 kJ/mol of formula units
Crystal system ... orthorhombic



Material: ErSc5
Method: DFT, PBE
State: relaxed

Unit cell a=5.719 b=6.596 c=9.875 alpha=90.00 beta=90.00 gamma=125.17
Atoms (fractional coordinates):
Sc: 0.750 0.000 0.250
Sc: 0.750 0.000 0.581
Sc: 0.750 0.500 0.583
Sc: 0.250 0.000 0.081
Sc: 0.250 0.000 0.750
Sc: 0.250 0.000 0.419
Er: 0.250 0.500 0.750
Sc: 0.750 0.500 0.917
Sc: 0.250 0.500 0.083
Sc: 0.750 0.000 0.919
Er: 0.750 0.500 0.250
Sc: 0.250 0.500 0.417

Calculated values
Energy relative to the lowest polymorph listed for this composition ... 42 meV per atom
E_form ... 30 kJ/mol of formula units
Crystal system ... monoclinic



- What is the E_form in the third record?
  53 kJ/mol of formula units



- Among the records above, which one has the lowest E_form?
  number 2



- Among the records above, which one has the lowest E_form?
  number 2